# Sr12P6O

Sr12P6O after structural relaxation (GGA-PBE, Alexandria).

abc: 8.6434 8.6434 8.6434
angles: 98.80 98.80 98.80
Site moments in Bohr magnetons follow the coordinates.
Element x y z (fractional)
Sr (0.9671, 0.3083, 0.0712)  0.06
Sr (0.3083, 0.0712, 0.9671)  0.06
Sr (0.1827, 0.4275, 0.5773)  0.05
Sr (0.0329, 0.6917, 0.9288)  0.06
Sr (0.4275, 0.5773, 0.1827)  0.05
Sr (0.4227, 0.8173, 0.5725)  0.05
Sr (0.8173, 0.5725, 0.4227)  0.05
Sr (0.9288, 0.0329, 0.6917)  0.06
Sr (0.6917, 0.9288, 0.0329)  0.06
Sr (0.5725, 0.4227, 0.8173)  0.05
Sr (0.5773, 0.1827, 0.4275)  0.05
Sr (0.0712, 0.9671, 0.3083)  0.06
P (0.7060, 0.8744, 0.3740)  0.01
P (0.3740, 0.7060, 0.8744)  0.01
P (0.6260, 0.2940, 0.1256)  0.01
P (0.8744, 0.3740, 0.7060)  0.01
P (0.2940, 0.1256, 0.6260)  0.01
P (0.1256, 0.6260, 0.2940)  0.01
O (0.0000, 0.0000, 0.0000)  0.02

Values from the calculation:
Calculated volume: 620.3 Å³/cell
Uncorrected formation energy: -1033 meV per atom
SG: No. 148